First-principles (GGA+U) data for a relaxed VSi2HO6 crystal, as listed in the Alexandria database.

Properties
D(E_F): 0.0000 states/eV/atom
spin magnetization: 2.0 μB/f.u.
energy: -7.31 eV/atom

```
20
Lattice="5.0482 0.2006 0.2082 1.8606 6.4206 0.2190 1.8606 -0.0191 6.4243" Properties=species:S:1:pos:R:3 pbc="T T T"
V 3.1227 5.7686 0.9476
V 5.6468 0.8335 5.9038
Si 4.1095 4.9759 4.0783
Si 2.1359 2.6106 1.6237
Si 4.6600 1.6262 2.7731
Si 6.6336 3.9914 5.2277
H 3.1227 1.7394 4.8302
H 5.6468 4.8627 2.0213
O 4.0151 6.0281 5.3539
O 2.2302 1.3749 0.5250
O 4.7543 0.5739 1.4975
O 6.5393 5.2271 6.3264
O 4.5796 5.3804 2.5503
O 1.6657 4.1526 1.2762
O 4.1898 1.2217 4.3011
O 7.1038 2.4494 5.5753
O 2.5793 4.4289 3.8976
O 3.6661 2.7710 2.1770
O 6.1902 2.1731 2.9538
O 5.1034 3.8310 4.6744
```